K2MoSe: relaxed, PBE.

It has space group F-43m (No. 216), with a = 7.951 Å, b = 7.951 Å, c = 7.951 Å, α = 90.00°, β = 90.00° and γ = 90.00°. The inequivalent atoms are K at (0.000, 0.000, 0.000), K at (0.250, 0.250, 0.250), Mo at (0.250, 0.250, 0.750) and Se at (0.000, 0.000, 0.500).

The value obtained for the excess energy over the best structure of this formula in the dataset is 407 meV per atom. The calculation puts the uncorrected formation energy at 0.639 eV per atom. Its magnetization is 5.77 μB/f.u. The value obtained for the calculated volume is 31.41 Å³ per atom.


ScTlCd: relaxed, PBE.

It has space group P2_1/m (No. 11), with a = 3.395 Å, b = 4.947 Å, c = 8.442 Å, α = 90.00°, β = 90.30° and γ = 90.00°. The inequivalent atoms are Sc at (0.005, 0.250, 0.258), Tl at (0.347, 0.250, 0.914) and Cd at (0.471, 0.750, 0.422).

The formation enthalpy at 0 K comes out at -0.1376 eV per atom. Its magnetization is 0.00 μB/f.u. The value obtained for the calculated volume is 23.63 Å³ per atom.